Compound: La4Pr3Er2
Source: Alexandria via LeMat-Bulk
Functional: PBE
Structure: relaxed

```
La4Pr3Er2
1.0
3.7378 0.0000 0.0000
-1.8689 6.3588 1.3763
0.0000 3.6589 14.4598
La Er Pr
4 2 3
direct
0.3461 0.6922 0.8727
0.6539 0.3078 0.1273
0.1167 0.2335 0.6006
0.8833 0.7665 0.3994
0.3457 0.6914 0.2109
0.6543 0.3086 0.7891
0.0000 0.0000 0.0000
0.6179 0.2359 0.3797
0.3821 0.7641 0.6203
```

Summary:
ΔE to the lowest computed polymorph (meV/atom): 65.5
Final energy (eV/atom): -4.709

=====

Compound: Ac3Cu
Source: Alexandria via LeMat-Bulk
Functional: PBE
Structure: relaxed

```
Ac3Cu
1.0
-2.5950 2.0535 -4.9006
-5.8990 0.1855 -0.3662
-2.8063 5.2040 0.0991
Ac Cu
3 1
direct
0.7500 0.7500 0.7500
0.0000 0.0000 0.0000
0.2500 0.2500 0.2500
0.5000 0.5000 0.5000
```

Summary:
ΔE to the lowest computed polymorph (meV/atom): 380.8
Final energy (eV/atom): -3.775

=====

Compound: Y4HoTh2
Source: Alexandria via LeMat-Bulk
Functional: PBE
Structure: relaxed

```
Y4HoTh2
1.0
-5.9177 3.1182 1.3589
2.4763 -4.7820 4.1938
4.6245 5.0126 0.2760
Y Ho Th
4 1 2
direct
0.7962 0.7962 0.5924
0.7962 0.2038 0.0000
0.2038 0.7962 0.0000
0.2038 0.2038 0.4076
0.5000 0.5000 0.0000
0.2500 0.7500 0.5000
0.7500 0.2500 0.5000
```

Summary:
ΔE to the lowest computed polymorph (meV/atom): 176.8
Final energy (eV/atom): -6.181